(1)
Material: Cs3RbCd3
Method: DFT, PBE
State: relaxed

## Properties
Energy relative to the elements, eV per atom: 0.217

a = 10.653 Å, b = 10.653 Å, c = 10.653 Å
α = 90.00°, β = 90.00°, γ = 90.00°
Fractional coordinates of all 14 atoms:
1 Cs 0.750 0.500 0.000
2 Cs 0.500 0.000 0.750
3 Cs 0.500 0.000 0.250
4 Cs 0.250 0.500 0.000
5 Cs 0.000 0.250 0.500
6 Cs 0.000 0.750 0.500
7 Cd 0.500 0.750 0.000
8 Cd 0.250 0.000 0.500
9 Cd 0.750 0.000 0.500
10 Cd 0.500 0.250 0.000
11 Cd 0.000 0.500 0.750
12 Cd 0.000 0.500 0.250
13 Rb 0.000 0.000 0.000
14 Rb 0.500 0.500 0.500

---

(2)
Material: RbTl2Sn2Se4
Method: DFT, PBE
State: relaxed

## Properties
Raw formation energy, eV/atom: -0.51

a = 5.522 Å, b = 9.810 Å, c = 6.822 Å
α = 77.69°, β = 90.00°, γ = 106.35°
Fractional coordinates of all 9 atoms:
1 Tl 0.801 0.602 0.391
2 Tl 0.199 0.398 0.609
3 Se 0.175 0.349 0.153
4 Se 0.388 0.776 0.256
5 Se 0.825 0.651 0.847
6 Se 0.612 0.224 0.744
7 Rb 0.000 0.000 0.000
8 Sn 0.322 0.645 0.956
9 Sn 0.678 0.355 0.044

---

(3)
Material: KBP
Method: DFT, PBE
State: relaxed

## Properties
Energy relative to the elements, eV per atom: -0.002

a = 5.602 Å, b = 5.602 Å, c = 6.774 Å
α = 108.23°, β = 108.22°, γ = 73.64°
Fractional coordinates of all 6 atoms:
1 P 0.354 0.354 0.761
2 P 0.646 0.646 0.239
3 B 0.371 0.629 0.000
4 B 0.629 0.371 0.000
5 K 0.761 0.761 0.782
6 K 0.239 0.239 0.218

---

What did the third record say?
Material: KBP
Method: DFT, PBE
State: relaxed

## Properties
Energy relative to the elements, eV per atom: -0.002

a = 5.602 Å, b = 5.602 Å, c = 6.774 Å
α = 108.23°, β = 108.22°, γ = 73.64°
Fractional coordinates of all 6 atoms:
1 P 0.354 0.354 0.761
2 P 0.646 0.646 0.239
3 B 0.371 0.629 0.000
4 B 0.629 0.371 0.000
5 K 0.761 0.761 0.782
6 K 0.239 0.239 0.218

---

> Which formula does entry 1 have?

Cs3RbCd3